Record 1
VASP calculation (GGA-PBE) on a geometry-optimized U4Fe3Sb8 structure.

```
data_U4Fe3Sb8
_cell_length_a 4.3782
_cell_length_b 4.3782
_cell_length_c 17.8420
_cell_angle_alpha 90.00
_cell_angle_beta 90.00
_cell_angle_gamma 90.00
_space_group_name_H-M_alt 'P 1'
_space_group_IT_number 1
_space_group_name_Hall 'P 1'
loop_
_atom_site_label
_atom_site_type_symbol
_atom_site_fract_x
_atom_site_fract_y
_atom_site_fract_z
_atom_site_occupancy
Fe1 Fe 0.0000 0.0000 0.0000 1
Sb1 Sb 0.0000 0.0000 0.7536 1
Sb2 Sb 0.5000 0.5000 0.7541 1
U1 U 0.0000 0.5000 0.6134 1
U2 U 0.0000 0.5000 0.1076 1
Fe2 Fe 0.5000 0.5000 0.5000 1
Fe3 Fe 0.0000 0.0000 0.5000 1
Sb3 Sb 0.5000 0.0000 0.0746 1
Sb4 Sb 0.0000 0.5000 0.9254 1
Sb5 Sb 0.5000 0.0000 0.5826 1
Sb6 Sb 0.0000 0.5000 0.4174 1
U3 U 0.5000 0.0000 0.8924 1
Sb7 Sb 0.0000 0.0000 0.2464 1
U4 U 0.5000 0.0000 0.3866 1
Sb8 Sb 0.5000 0.5000 0.2459 1
```

Formation energy without anion corrections   -0.27 eV/atom
Total moment   0.1301 μB/atom
Density   10.17 g/cm3
Calculated volume   22.80 Å³/atom

***

Record 2
VASP calculation (GGA-PBE) on a geometry-optimized UFeSb structure.

```
data_UFeSb
_cell_length_a 4.3301
_cell_length_b 4.6577
_cell_length_c 6.5613
_cell_angle_alpha 90.00
_cell_angle_beta 70.21
_cell_angle_gamma 90.00
_space_group_name_H-M_alt 'P 1'
_space_group_IT_number 1
_space_group_name_Hall 'P 1'
loop_
_atom_site_label
_atom_site_type_symbol
_atom_site_fract_x
_atom_site_fract_y
_atom_site_fract_z
_atom_site_occupancy
U1 U 0.1117 0.7500 0.3007 1
Sb1 Sb 0.6341 0.2500 0.2704 1
Fe1 Fe 0.5923 0.7500 0.0691 1
Fe2 Fe 0.4077 0.2500 0.9309 1
Sb2 Sb 0.3659 0.7500 0.7296 1
U2 U 0.8883 0.2500 0.6993 1
```

Formation energy without anion corrections   -0.19 eV/atom
Total moment   0.3649 μB/atom
Density   11.09 g/cm3
Calculated volume   20.75 Å³/atom

***

Record 3
VASP calculation (GGA-PBE) on a geometry-optimized U2Fe3Sb2 structure.

```
data_U2Fe3Sb2
_cell_length_a 4.4604
_cell_length_b 4.7188
_cell_length_c 6.5871
_cell_angle_alpha 96.28
_cell_angle_beta 109.79
_cell_angle_gamma 90.00
_space_group_name_H-M_alt 'P 1'
_space_group_IT_number 1
_space_group_name_Hall 'P 1'
loop_
_atom_site_label
_atom_site_type_symbol
_atom_site_fract_x
_atom_site_fract_y
_atom_site_fract_z
_atom_site_occupancy
Sb1 Sb 0.4005 0.1660 0.8009 1
Fe1 Fe 0.0000 0.0000 0.0000 1
Fe2 Fe 0.2178 0.8154 0.4356 1
U1 U 0.1467 0.3761 0.2933 1
Sb2 Sb 0.5995 0.8340 0.1991 1
U2 U 0.8533 0.6239 0.7067 1
Fe3 Fe 0.7822 0.1846 0.5644 1
```

Formation energy without anion corrections   -0.14 eV/atom
Total moment   0.1722 μB/atom
Density   11.37 g/cm3
Calculated volume   18.51 Å³/atom